# CaZrCd2, optimized geometry, DFT PBE
data_CaZrCd2
_chemical_formula_sum 'Ca1 Zr1 Cd2'
_space_group_name_H-M_alt 'P 1'
_space_group_IT_number 1
_cell_length_a 3.3460
_cell_length_b 4.6532
_cell_length_c 6.4470
_cell_angle_alpha 90.00
_cell_angle_beta 90.00
_cell_angle_gamma 90.00
loop_
_space_group_symop_operation_xyz
'x,y,z'
loop_
_atom_site_label
_atom_site_type_symbol
_atom_site_fract_x
_atom_site_fract_y
_atom_site_fract_z
Cd1 Cd 0.5000 0.5000 0.2723
Cd2 Cd 0.0000 0.0000 0.9947
Ca1 Ca 0.5000 0.5000 0.7696
Zr1 Zr 0.0000 0.0000 0.4634
# DFT formation energy in eV/atom: 0.036

---

# BaCr2Ag, optimized geometry, DFT PBE
data_BaCr2Ag
_chemical_formula_sum 'Ba1 Cr2 Ag1'
_space_group_name_H-M_alt 'P 1'
_space_group_IT_number 1
_cell_length_a 5.4277
_cell_length_b 5.4277
_cell_length_c 5.4277
_cell_angle_alpha 124.50
_cell_angle_beta 114.37
_cell_angle_gamma 91.20
loop_
_space_group_symop_operation_xyz
'x,y,z'
loop_
_atom_site_label
_atom_site_type_symbol
_atom_site_fract_x
_atom_site_fract_y
_atom_site_fract_z
Ba1 Ba 0.2530 0.7530 0.5000
Cr1 Cr 0.7366 0.2366 0.5000
Cr2 Cr 0.9513 0.9513 0.0000
Ag1 Ag 0.5591 0.5591 0.0000
# ΔE to the lowest computed polymorph in eV/f.u.: 1.404
# DFT formation energy in eV/atom: 0.865

---

# Tc2SnTePb, optimized geometry, DFT PBE
data_Tc2SnTePb
_chemical_formula_sum 'Tc2 Sn1 Te1 Pb1'
_space_group_name_H-M_alt 'P 1'
_space_group_IT_number 1
_cell_length_a 5.1054
_cell_length_b 5.7638
_cell_length_c 5.1054
_cell_angle_alpha 90.00
_cell_angle_beta 90.00
_cell_angle_gamma 90.00
loop_
_space_group_symop_operation_xyz
'x,y,z'
loop_
_atom_site_label
_atom_site_type_symbol
_atom_site_fract_x
_atom_site_fract_y
_atom_site_fract_z
Tc1 Tc 0.5000 0.0000 0.0000
Tc2 Tc 0.0000 0.0000 0.5000
Te1 Te 0.0000 0.5000 0.0000
Pb1 Pb 0.5000 0.5000 0.5000
Sn1 Sn 0.0000 0.0000 0.0000
# Uncorrected formation energy in eV per atom: 1.4711

---

# NbAlSb2Te, optimized geometry, DFT PBE
data_NbAlSb2Te
_chemical_formula_sum 'Nb1 Al1 Sb2 Te1'
_space_group_name_H-M_alt 'P 1'
_space_group_IT_number 1
_cell_length_a 5.4180
_cell_length_b 5.4180
_cell_length_c 5.3845
_cell_angle_alpha 90.00
_cell_angle_beta 90.00
_cell_angle_gamma 90.00
loop_
_space_group_symop_operation_xyz
'x,y,z'
loop_
_atom_site_label
_atom_site_type_symbol
_atom_site_fract_x
_atom_site_fract_y
_atom_site_fract_z
Al1 Al 0.5000 0.5000 0.5000
Sb1 Sb 0.5000 0.0000 0.0000
Sb2 Sb 0.0000 0.5000 0.0000
Te1 Te 0.0000 0.0000 0.5000
Nb1 Nb 0.0000 0.0000 0.0000
# Uncorrected formation energy in eV per atom: 0.4272
# ΔE to the lowest computed polymorph in eV/f.u.: 0.000

---

# DyAl8Cr4, optimized geometry, DFT PBE
data_DyAl8Cr4
_chemical_formula_sum 'Dy1 Al8 Cr4'
_space_group_name_H-M_alt 'P 1'
_space_group_IT_number 1
_cell_length_a 6.7879
_cell_length_b 6.7879
_cell_length_c 6.7879
_cell_angle_alpha 97.97
_cell_angle_beta 97.97
_cell_angle_gamma 136.29
loop_
_space_group_symop_operation_xyz
'x,y,z'
loop_
_atom_site_label
_atom_site_type_symbol
_atom_site_fract_x
_atom_site_fract_y
_atom_site_fract_z
Al1 Al 0.0000 0.6632 0.6632
Al2 Al 0.5000 0.2775 0.7775
Al3 Al 0.0000 0.3368 0.3368
Al4 Al 0.3368 0.0000 0.3368
Al5 Al 0.7225 0.5000 0.2225
Al6 Al 0.5000 0.7225 0.2225
Al7 Al 0.6632 0.0000 0.6632
Al8 Al 0.2775 0.5000 0.7775
Cr1 Cr 0.5000 0.0000 0.0000
Cr2 Cr 0.0000 0.0000 0.5000
Cr3 Cr 0.0000 0.5000 0.0000
Cr4 Cr 0.5000 0.5000 0.5000
Dy1 Dy 0.0000 0.0000 0.0000
# DFT formation energy in eV/atom: -0.223

---

# Pm6ZnTe3Se2, optimized geometry, DFT PBE
data_Pm6ZnTe3Se2
_chemical_formula_sum 'Pm6 Zn1 Te3 Se2'
_space_group_name_H-M_alt 'P 1'
_space_group_IT_number 1
_cell_length_a 7.4619
_cell_length_b 7.4619
_cell_length_c 7.6465
_cell_angle_alpha 99.35
_cell_angle_beta 99.35
_cell_angle_gamma 119.89
loop_
_space_group_symop_operation_xyz
'x,y,z'
loop_
_atom_site_label
_atom_site_type_symbol
_atom_site_fract_x
_atom_site_fract_y
_atom_site_fract_z
Se1 Se 0.3341 0.6659 0.0000
Se2 Se 0.6659 0.3341 0.0000
Te1 Te 0.8316 0.1684 0.5000
Te2 Te 0.1684 0.8316 0.5000
Te3 Te 0.5000 0.5000 0.5000
Pm1 Pm 0.7464 0.7464 0.2259
Pm2 Pm 0.0748 0.4047 0.2264
Pm3 Pm 0.2536 0.2536 0.7741
Pm4 Pm 0.5953 0.9252 0.7736
Pm5 Pm 0.4047 0.0748 0.2264
Pm6 Pm 0.9252 0.5953 0.7736
Zn1 Zn 0.0000 0.0000 0.0000
# Uncorrected formation energy in eV per atom: -1.3914

---

Number 1: VASP energy -3.059 eV per atom. Number 2: VASP energy -5.140 eV per atom. Number 3: VASP energy -4.846 eV per atom. Number 4: VASP energy -4.613 eV per atom. Number 5: VASP energy -5.841 eV per atom. Number 6: VASP energy -5.239 eV per atom.